(1)
HfB2PbI | PBE | relaxed

```
5
Lattice="4.614 0.000 0.000 0.000 4.614 0.000 0.000 0.000 6.203" Properties=species:S:1:pos:R:3 pbc="T T T"
Hf 0.000 0.000 0.000
B 0.000 2.307 0.000
B 2.307 0.000 0.000
Pb 0.000 0.000 3.102
I 2.307 2.307 3.102
```

Values from the calculation:
E   -4.394 eV/atom
Energy relative to the elements, uncorrected   1.319 eV/atom
Magnetization   0.00 μB per formula unit
SG   P4/mmm (123)

(2)
HfBSbI2 | PBE | relaxed

```
5
Lattice="4.846 0.000 0.000 0.000 4.846 0.000 0.000 0.000 5.094" Properties=species:S:1:pos:R:3 pbc="T T T"
Hf 0.000 0.000 0.000
B 2.423 2.423 2.547
Sb 2.423 2.423 0.000
I 0.000 2.423 2.547
I 2.423 0.000 2.547
```

Values from the calculation:
Polymorph energy (0 for the lowest one)   0.0 meV/atom
E   -3.837 eV/atom
Energy relative to the elements, uncorrected   0.934 eV/atom
Magnetization   0.00 μB per formula unit
SG   P4/mmm (123)

(3)
HfBSbI2 | PBE | relaxed

```
5
Lattice="6.081 0.000 0.000 0.000 6.081 0.000 0.000 0.000 5.579" Properties=species:S:1:pos:R:3 pbc="T T T"
Hf 0.000 0.000 0.000
B 3.040 3.040 0.000
Sb 0.000 0.000 2.789
I 0.000 3.040 2.789
I 3.040 0.000 2.789
```

Values from the calculation:
Polymorph energy (0 for the lowest one)   727.1 meV/atom
E   -3.110 eV/atom
Energy relative to the elements, uncorrected   1.661 eV/atom
Magnetization   1.54 μB per formula unit
SG   P4/mmm (123)

(4)
HfBSbI2 | PBE | relaxed

```
5
Lattice="5.617 0.000 0.000 0.000 5.617 0.000 0.000 0.000 5.700" Properties=species:S:1:pos:R:3 pbc="T T T"
Hf 0.000 0.000 0.000
B 2.808 2.808 2.850
Sb 0.000 0.000 2.850
I 0.000 2.808 0.000
I 2.808 0.000 0.000
```

Values from the calculation:
Polymorph energy (0 for the lowest one)   17.2 meV/atom
E   -3.820 eV/atom
Energy relative to the elements, uncorrected   0.951 eV/atom
Magnetization   0.00 μB per formula unit
SG   P4/mmm (123)

Q: Which value of magnetization does entry 3 give?
A: 1.54 μB per formula unit

Q: The highest magnetization belongs to which entry?
A: number 3